[1]
## Ba12Mg2In5 (GGA-PBE)

Data for a relaxed structure of Ba12Mg2In5.

a b c (Å): 9.8902 9.8902 10.6582
angles (deg): 90.27 90.27 59.15
Fractional coordinates of all 19 atoms:
Ba (0.0439, 0.0439, 0.2709)
Ba (0.0865, 0.6446, 0.4252)
Ba (0.0943, 0.5276, 0.8443)
Ba (0.3554, 0.9135, 0.5748)
Ba (0.4342, 0.4342, 0.1719)
Ba (0.4724, 0.9057, 0.1557)
Ba (0.5276, 0.0943, 0.8443)
Ba (0.5658, 0.5658, 0.8281)
Ba (0.6446, 0.0865, 0.4252)
Ba (0.9057, 0.4724, 0.1557)
Ba (0.9135, 0.3554, 0.5748)
Ba (0.9561, 0.9561, 0.7291)
Mg (0.1835, 0.8165, 0.0000)
Mg (0.8165, 0.1835, 0.0000)
In (0.1413, 0.1413, 0.9179)
In (0.2463, 0.2463, 0.3538)
In (0.5000, 0.5000, 0.5000)
In (0.7537, 0.7537, 0.6462)
In (0.8587, 0.8587, 0.0821)

## Properties
Total moment = 0.55 μB/cell
ΔH_f (0 K) = -0.135 eV/atom
DOS at the Fermi energy = 22.180 states/eV/f.u.
Energy = -42.52 eV for the cell shown

=====

[2]
## KHg3Pd (GGA-PBE)

Data for a relaxed structure of KHg3Pd.

a b c (Å): 9.0547 9.0547 7.1931
angles (deg): 98.33 98.33 93.85
Fractional coordinates of all 20 atoms:
K (0.0144, 0.2549, 0.1188)
K (0.2549, 0.0144, 0.6188)
K (0.7451, 0.9856, 0.3812)
K (0.9856, 0.7451, 0.8812)
Hg (0.0019, 0.3079, 0.6299)
Hg (0.2466, 0.4916, 0.4867)
Hg (0.2485, 0.4816, 0.9298)
Hg (0.3079, 0.0019, 0.1299)
Hg (0.4816, 0.2485, 0.4298)
Hg (0.4916, 0.2466, 0.9867)
Hg (0.5084, 0.7534, 0.0133)
Hg (0.5184, 0.7515, 0.5702)
Hg (0.6921, 0.9981, 0.8701)
Hg (0.7515, 0.5184, 0.0702)
Hg (0.7534, 0.5084, 0.5133)
Hg (0.9981, 0.6921, 0.3701)
Pd (0.2752, 0.7248, 0.2500)
Pd (0.4828, 0.5172, 0.2500)
Pd (0.5172, 0.4828, 0.7500)
Pd (0.7248, 0.2752, 0.7500)

## Properties
Total moment = 0.00 μB/cell
ΔH_f (0 K) = -0.159 eV/atom
DOS at the Fermi energy = 1.532 states/eV/f.u.
Energy above the most stable polymorph in this dataset = 83 meV/atom
Energy = -31.96 eV for the cell shown

=====

[3]
## Zn6HgAu5 (GGA-PBE)

Data for a relaxed structure of Zn6HgAu5.

a b c (Å): 4.5529 6.3104 7.2545
angles (deg): 90.00 106.52 90.00
Fractional coordinates of all 12 atoms:
Zn (0.0000, 0.2455, 0.0000)
Zn (0.0000, 0.7545, 0.0000)
Zn (0.3329, 0.2410, 0.6511)
Zn (0.3329, 0.7590, 0.6511)
Zn (0.6671, 0.2410, 0.3489)
Zn (0.6671, 0.7590, 0.3489)
Hg (0.5000, 0.5000, 0.0000)
Au (0.1508, 0.0000, 0.3187)
Au (0.1611, 0.5000, 0.3322)
Au (0.5000, 0.0000, 0.0000)
Au (0.8389, 0.5000, 0.6678)
Au (0.8492, 0.0000, 0.6813)

## Properties
Total moment = 0.00 μB/cell
ΔH_f (0 K) = -0.139 eV/atom
DOS at the Fermi energy = 2.326 states/eV/f.u.
Energy = -25.99 eV for the cell shown

=====

[4]
## PuICl2 (GGA-PBE)

Data for a relaxed structure of PuICl2.

a b c (Å): 11.1994 11.1994 11.1994
angles (deg): 20.48 20.48 20.48
Fractional coordinates of all 4 atoms:
Pu (0.0000, 0.0000, 0.0000)
I (0.5000, 0.5000, 0.5000)
Cl (0.3809, 0.3809, 0.3809)
Cl (0.6191, 0.6191, 0.6191)

## Properties
ΔE_f (raw) = -1.21 eV/atom
Total moment = 5.74 μB/cell
DOS at the Fermi energy = 10.592 states/eV/f.u.
Energy above the most stable polymorph in this dataset = 387 meV/atom
Energy = -24.42 eV for the cell shown

=====

Among the records above, which one has the highest total moment?
PuICl2